1.
Density functional theory data (PBE) for crystalline Dy2HoBiC at its relaxed geometry.

abc: 4.893 4.929 4.929
angles: 90.00 90.00 90.00
Atoms (fractional coordinates):
Dy: 0.000 0.000 0.500
Dy: 0.000 0.500 0.000
Ho: 0.500 0.000 0.000
Bi: 0.500 0.500 0.500
C: 0.000 0.000 0.000

## Properties
uncorrected energy	-29.6	eV for the cell shown
size of the total moment	0.0	μB/cell
space group	P4/mmm, No. 123
Fermi-level density of states	3.37	states/eV/f.u.



2.
Density functional theory data (PBE) for crystalline Pm2SmY3 at its relaxed geometry.

abc: 9.028 6.712 6.712
angles: 95.35 82.39 82.39
Atoms (fractional coordinates):
Pm: 0.626 0.127 0.625
Pm: 0.126 0.625 0.127
Pm: 0.874 0.375 0.873
Pm: 0.374 0.873 0.375
Sm: 0.750 0.914 0.086
Sm: 0.250 0.086 0.914
Y: 0.250 0.418 0.582
Y: 0.750 0.582 0.418
Y: 0.999 0.835 0.670
Y: 0.501 0.330 0.165
Y: 0.499 0.670 0.835
Y: 0.001 0.165 0.330

## Properties
uncorrected energy	-66.5	eV for the cell shown
size of the total moment	0.0	μB/cell
space group	C2/c, No. 15
Fermi-level density of states	9.23	states/eV/f.u.



3.
Density functional theory data (PBE) for crystalline Li2Zn6Ni at its relaxed geometry.

abc: 5.089 7.387 6.847
angles: 122.65 133.01 90.00
Atoms (fractional coordinates):
Li: 0.671 0.671 0.342
Li: 0.329 0.329 0.658
Zn: 0.170 0.499 0.335
Zn: 0.830 0.164 0.665
Zn: 0.830 0.501 0.665
Zn: 0.500 0.165 0.000
Zn: 0.170 0.836 0.335
Zn: 0.500 0.835 0.000
Ni: 0.000 0.000 0.000

## Properties
size of the total moment	0.0	μB/cell
energy above the most stable polymorph in this dataset	0.0	meV per atom
space group	C2/m, No. 12
Fermi-level density of states	3.15	states/eV/f.u.



4.
Density functional theory data (PBE) for crystalline TePPbI2 at its relaxed geometry.

abc: 6.212 6.212 6.396
angles: 90.00 90.00 90.00
Site moments in Bohr magnetons follow the coordinates.
Atoms (fractional coordinates):
Pb: 0.000 0.000 0.000  -0.01
I: 0.000 0.500 0.000  -0.04
I: 0.500 0.000 0.000  -0.04
Te: 0.000 0.000 0.500  -0.69
P: 0.500 0.500 0.500  1.11

## Properties
size of the total moment	1.2	μB/cell
formation energy without anion corrections	0.6991	eV/atom
energy above the most stable polymorph in this dataset	557.6	meV per atom
space group	P4/mmm, No. 123
Fermi-level density of states	3.62	states/eV/f.u.



5.
Density functional theory data (PBE) for crystalline BeAu2O at its relaxed geometry.

abc: 5.388 5.388 6.011
angles: 63.38 63.38 90.00
Atoms (fractional coordinates):
Be: 0.500 0.500 0.000
Be: 0.250 0.750 0.500
Au: 0.622 0.125 0.250
Au: 0.128 0.625 0.250
Au: 0.375 0.378 0.750
Au: 0.875 0.872 0.750
O: 0.000 0.000 0.000
O: 0.750 0.250 0.500

## Properties
size of the total moment	0.0	μB/cell
formation energy without anion corrections	0.3040	eV/atom
energy above the most stable polymorph in this dataset	161.2	meV per atom
space group	I-42d, No. 122
Fermi-level density of states	0.81	states/eV/f.u.



6.
Density functional theory data (PBE) for crystalline AcTbYGa at its relaxed geometry.

abc: 5.496 5.496 5.496
angles: 60.00 60.00 60.00
Atoms (fractional coordinates):
Y: 0.750 0.750 0.750
Ac: 0.500 0.500 0.500
Tb: 0.250 0.250 0.250
Ga: 0.000 0.000 0.000

## Properties
uncorrected energy	-18.0	eV for the cell shown
size of the total moment	0.0	μB/cell
space group	F-43m, No. 216
Fermi-level density of states	8.02	states/eV/f.u.



7.
Density functional theory data (PBE) for crystalline YRh3F at its relaxed geometry.

abc: 5.040 5.040 5.040
angles: 90.00 90.00 90.00
Site moments in Bohr magnetons follow the coordinates.
Atoms (fractional coordinates):
Y: 0.000 0.000 0.000  -0.10
Rh: 0.000 0.500 0.000  0.86
Rh: 0.000 0.000 0.500  0.78
Rh: 0.500 0.000 0.000  0.77
F: 0.500 0.500 0.500  0.18

## Properties
size of the total moment	2.8	μB/cell
formation energy without anion corrections	1.2348	eV/atom
energy above the most stable polymorph in this dataset	1292.5	meV per atom
space group	Pm-3m, No. 221
Fermi-level density of states	5.42	states/eV/f.u.



8.
Density functional theory data (PBE) for crystalline Na3Tb2DyO6 at its relaxed geometry.

abc: 5.965 5.965 5.932
angles: 99.65 99.65 120.00
Atoms (fractional coordinates):
Na: 0.166 0.834 0.500
Na: 0.834 0.166 0.500
Na: 0.500 0.500 0.500
Tb: 0.333 0.667 0.000
Tb: 0.667 0.333 0.000
Dy: 0.000 0.000 0.000
O: 0.929 0.598 0.788
O: 0.739 0.739 0.211
O: 0.071 0.402 0.212
O: 0.598 0.929 0.788
O: 0.261 0.261 0.789
O: 0.402 0.071 0.212

## Properties
size of the total moment	0.0	μB/cell
formation energy without anion corrections	-2.7851	eV/atom
space group	C2/m, No. 12
Fermi-level density of states	0.00	states/eV/f.u.